Record 1
VASP calculation (PBE) on a relaxed PrGa2Rh2 crystal.

Computed properties:
energy relative to the elements: -0.81 eV/atom
spin magnetization: 0.0 μB/f.u.
theoretical density: 8.58 g/cm3
space-group type: I4/mmm, No. 139

```
10
Lattice="4.307 0.000 0.000 0.000 4.307 0.000 0.000 0.000 10.149" Properties=species:S:1:pos:R:3 pbc="T T T"
Pr 0.000 0.000 0.000
Pr 2.153 2.153 5.074
Ga 0.000 0.000 3.769
Ga 0.000 0.000 6.379
Ga 2.153 2.153 1.305
Ga 2.153 2.153 8.844
Rh 0.000 2.153 2.537
Rh 0.000 2.153 7.611
Rh 2.153 0.000 2.537
Rh 2.153 0.000 7.611
```



Record 2
VASP calculation (PBE) on a relaxed PrGa4Rh2 crystal.

Computed properties:
energy relative to the elements: -0.25 eV/atom
spin magnetization: 0.0 μB/f.u.
theoretical density: 6.55 g/cm3
energy above the most stable polymorph in this dataset: 421 meV/atom
space-group type: I4/mmm, No. 139

```
14
Lattice="7.437 0.000 0.000 0.000 7.437 0.000 0.000 0.000 5.731" Properties=species:S:1:pos:R:3 pbc="T T T"
Pr 0.000 0.000 0.000
Pr 3.719 3.719 2.865
Ga 0.000 1.816 2.865
Ga 0.000 5.621 2.865
Ga 1.816 0.000 2.865
Ga 1.903 3.719 0.000
Ga 3.719 1.903 0.000
Ga 3.719 5.534 0.000
Ga 5.534 3.719 0.000
Ga 5.621 0.000 2.865
Rh 0.000 3.719 1.433
Rh 0.000 3.719 4.298
Rh 3.719 0.000 1.433
Rh 3.719 0.000 4.298
```



Record 3
VASP calculation (PBE) on a relaxed Pr2Ga5Rh crystal.

Computed properties:
energy relative to the elements: -0.56 eV/atom
spin magnetization: 0.0 μB/f.u.
theoretical density: 6.95 g/cm3
space-group type: I4mm, No. 107

```
16
Lattice="6.176 0.000 0.000 0.000 6.176 0.000 0.000 0.000 9.193" Properties=species:S:1:pos:R:3 pbc="T T T"
Pr 0.000 3.088 0.000
Pr 0.000 3.088 4.596
Pr 3.088 0.000 0.000
Pr 3.088 0.000 4.596
Ga 0.000 0.000 4.305
Ga 1.332 1.332 2.304
Ga 1.332 4.844 2.304
Ga 1.756 1.756 6.901
Ga 1.756 4.420 6.901
Ga 3.088 3.088 8.902
Ga 4.420 1.756 6.901
Ga 4.420 4.420 6.901
Ga 4.844 1.332 2.304
Ga 4.844 4.844 2.304
Rh 0.000 0.000 6.741
Rh 3.088 3.088 2.145
```



Record 4
VASP calculation (PBE) on a relaxed Pr3Ga6Rh5 crystal.

Computed properties:
energy relative to the elements: -0.74 eV/atom
spin magnetization: 0.0 μB/f.u.
theoretical density: 8.60 g/cm3
space-group type: Pmmn, No. 59

```
28
Lattice="4.286 0.000 0.000 0.000 12.910 0.000 0.000 0.000 9.459" Properties=species:S:1:pos:R:3 pbc="T T T"
Pr 1.072 0.750 2.338
Pr 1.072 5.705 2.338
Pr 1.072 9.682 2.299
Pr 3.215 3.227 7.160
Pr 3.215 7.205 7.122
Pr 3.215 12.159 7.122
Ga 1.072 0.906 8.564
Ga 1.072 3.227 0.585
Ga 1.072 3.227 4.416
Ga 1.072 5.549 8.564
Ga 1.072 7.747 4.911
Ga 1.072 11.618 4.911
Ga 3.215 1.292 4.548
Ga 3.215 5.163 4.548
Ga 3.215 7.361 0.896
Ga 3.215 9.682 5.043
Ga 3.215 9.682 8.875
Ga 3.215 12.003 0.896
Rh 1.072 1.130 5.923
Rh 1.072 5.324 5.923
Rh 1.072 8.231 9.142
Rh 1.072 9.682 6.678
Rh 1.072 11.133 9.142
Rh 3.215 1.777 0.318
Rh 3.215 3.227 2.781
Rh 3.215 4.678 0.318
Rh 3.215 7.585 3.536
Rh 3.215 11.779 3.536
```



Record 5
VASP calculation (PBE) on a relaxed PrGa3Rh5 crystal.

Computed properties:
energy relative to the elements: -0.51 eV/atom
spin magnetization: 0.0 μB/f.u.
theoretical density: 9.04 g/cm3
space-group type: Cmcm, No. 63

```
18
Lattice="2.059 -6.507 0.000 2.059 6.507 0.000 0.000 0.000 11.856" Properties=species:S:1:pos:R:3 pbc="T T T"
Pr 2.059 3.918 8.892
Pr 2.059 -3.918 2.964
Ga 2.059 5.158 2.964
Ga 2.059 1.529 0.692
Ga 2.059 1.529 5.236
Ga 2.059 -1.529 6.620
Ga 2.059 -1.529 11.165
Ga 2.059 -5.158 8.892
Rh 0.000 0.000 0.000
Rh 0.000 0.000 5.928
Rh 2.059 3.950 0.725
Rh 2.059 3.950 5.203
Rh 2.059 0.753 7.606
Rh 2.059 0.753 10.179
Rh 2.059 -0.753 1.677
Rh 2.059 -0.753 4.251
Rh 2.059 -3.950 6.653
Rh 2.059 -3.950 11.131
```



Record 6
VASP calculation (PBE) on a relaxed Pr3Ga7Rh2 crystal.

Computed properties:
energy relative to the elements: -0.57 eV/atom
spin magnetization: 0.0 μB/f.u.
theoretical density: 7.23 g/cm3
space-group type: Cmmm, No. 65

```
12
Lattice="2.319 -11.857 0.000 2.319 11.857 0.000 0.000 0.000 4.664" Properties=species:S:1:pos:R:3 pbc="T T T"
Pr 0.000 0.000 0.000
Pr 2.319 7.542 0.000
Pr 2.319 -7.542 0.000
Ga 2.319 9.752 2.332
Ga 2.319 5.228 2.332
Ga 2.319 2.116 0.000
Ga 2.319 0.000 2.332
Ga 2.319 -2.116 0.000
Ga 2.319 -5.228 2.332
Ga 2.319 -9.752 2.332
Rh 2.319 2.731 2.332
Rh 2.319 -2.731 2.332
```



Record 7
VASP calculation (PBE) on a relaxed PrGa5Rh2 crystal.

Computed properties:
energy relative to the elements: -0.62 eV/atom
spin magnetization: 0.0 μB/f.u.
theoretical density: 7.84 g/cm3
space-group type: Immm, No. 71

```
16
Lattice="4.085 0.000 0.000 0.000 7.068 0.000 0.000 0.000 10.200" Properties=species:S:1:pos:R:3 pbc="T T T"
Pr 0.000 0.000 0.000
Pr 2.043 3.534 5.100
Ga 0.000 1.389 3.603
Ga 0.000 1.389 6.597
Ga 0.000 3.534 0.000
Ga 0.000 5.679 3.603
Ga 0.000 5.679 6.597
Ga 2.043 0.000 5.100
Ga 2.043 2.145 1.497
Ga 2.043 2.145 8.703
Ga 2.043 4.923 1.497
Ga 2.043 4.923 8.703
Rh 0.000 3.534 2.390
Rh 0.000 3.534 7.810
Rh 2.043 0.000 2.710
Rh 2.043 0.000 7.490
```



Record 8
VASP calculation (PBE) on a relaxed Pr3Ga4Rh4 crystal.

Computed properties:
energy relative to the elements: -0.72 eV/atom
spin magnetization: 0.0 μB/f.u.
theoretical density: 8.08 g/cm3
space-group type: P-1, No. 2

```
11
Lattice="4.114 0.000 0.000 -0.004 4.418 0.000 -2.045 -1.694 12.594" Properties=species:S:1:pos:R:3 pbc="T T T"
Pr 0.000 0.000 0.000
Pr -0.003 2.436 3.628
Pr 2.068 0.288 8.966
Ga 0.009 0.238 6.366
Ga 0.007 2.514 10.119
Ga 2.058 0.210 2.475
Ga 2.056 2.486 6.228
Rh -0.002 2.445 7.628
Rh 0.007 0.303 11.282
Rh 2.058 2.421 1.312
Rh 2.067 0.279 4.966
```



| no. | electronic total energy (hartree per atom) |
| --- | --- |
| 1 | -0.217 |
| 2 | -0.175 |
| 3 | -0.168 |
| 4 | -0.209 |
| 5 | -0.225 |
| 6 | -0.175 |
| 7 | -0.182 |
| 8 | -0.213 |